Entry 1:
Computed, not measured: TbPm2HoTm5 after structural relaxation at the PBE level of DFT.

abc: 9.8013 9.8013 9.8013
angles: 128.04 128.04 76.56
Last column: nearest neighbours and their distance in Å.
Fractional coordinates of all 18 atoms:
Tb: 0.2500 0.2500 0.0000  10 Tm 3.51-3.85
Tb: 0.7500 0.7500 0.0000  10 Tm 3.51-3.85
Pm: 0.1168 0.6168 0.7335  1 Pm 2.84, 2 Tm 2.99
Pm: 0.3832 0.1168 0.5000  1 Pm 2.84, 2 Tm 2.99
Pm: 0.6168 0.8832 0.5000  1 Pm 2.84, 2 Tm 2.99
Pm: 0.8832 0.3832 0.2665  1 Pm 2.84, 2 Tm 2.99
Ho: 0.2500 0.7500 0.5000  4 Tm 3.08
Ho: 0.7500 0.2500 0.5000  4 Tm 3.08
Tm: 0.0000 0.0000 0.0000  4 Pm 3.44, 8 Tm 3.74, 2 Tb 3.85
Tm: 0.0725 0.1492 0.5000  1 Pm 2.99, 1 Ho 3.08
Tm: 0.1492 0.6492 0.0767  1 Pm 2.99, 1 Ho 3.08
Tm: 0.3508 0.4275 0.5000  1 Pm 2.99, 1 Ho 3.08
Tm: 0.4275 0.9275 0.0767  1 Pm 2.99, 1 Ho 3.08
Tm: 0.5000 0.5000 0.0000  4 Pm 3.44, 8 Tm 3.74, 2 Tb 3.85
Tm: 0.5725 0.0725 0.9233  1 Pm 2.99, 1 Ho 3.08
Tm: 0.6492 0.5725 0.5000  1 Pm 2.99, 1 Ho 3.08
Tm: 0.8508 0.3508 0.9233  1 Pm 2.99, 1 Ho 3.08
Tm: 0.9275 0.8508 0.5000  1 Pm 2.99, 1 Ho 3.08

Values from the calculation:
SG: I4/mcm (140)
Total moment (μB/cell): 0.00
ΔE_f (meV/atom): 274.8
Energy (eV/cell): -77.2
Fermi-level density of states (states/eV/cell): 20.92
ρ (g cm⁻³): 8.54

---

Entry 2:
Computed, not measured: Be2CuAu after structural relaxation at the PBE level of DFT.

abc: 2.8542 2.8542 5.6284
angles: 90.00 90.00 90.00
Last column: nearest neighbours and their distance in Å.
Fractional coordinates of all 4 atoms:
Be: 0.0000 0.0000 0.2153  4 Cu 2.35, 1 Be 2.42, 4 Au 2.58
Be: 0.0000 0.0000 0.7847  4 Cu 2.35, 1 Be 2.42, 4 Au 2.58
Cu: 0.5000 0.5000 0.0000  8 Be 2.35
Au: 0.5000 0.5000 0.5000  8 Be 2.58, 2 Cu 2.81, 4 Au 2.85

Values from the calculation:
SG: P4/mmm (123)
Total moment (μB/cell): 0.00
ΔE_f (meV/atom): -102.1
Energy (eV/cell): -15.2
Fermi-level density of states (states/eV/cell): 0.65
ρ (g cm⁻³): 10.09

---

Entry 3:
Computed, not measured: Li2MgIn after structural relaxation at the PBE level of DFT.

abc: 3.2905 3.5829 6.6374
angles: 90.00 90.00 90.00
Last column: nearest neighbours and their distance in Å.
Fractional coordinates of all 4 atoms:
Li: 0.0000 0.0000 0.2397  4 In 2.91, 4 Mg 2.98, 1 Li 3.18
Li: 0.0000 0.0000 0.7603  4 In 2.91, 4 Mg 2.98, 1 Li 3.18
Mg: 0.5000 0.5000 0.5000  8 Li 2.98, 2 Mg 3.29, 2 In 3.32
In: 0.5000 0.5000 0.0000  8 Li 2.91

Values from the calculation:
SG: Pmmm (47)
Total moment (μB/cell): 0.00
ΔE_f (meV/atom): -188.5
Energy (eV/cell): -8.9
Fermi-level density of states (states/eV/cell): 1.23
ρ (g cm⁻³): 3.25

---

Entry 4:
Computed, not measured: NaZrIn3 after structural relaxation at the PBE level of DFT.

abc: 5.6402 5.6402 5.6402
angles: 90.00 90.00 90.00
Last column: nearest neighbours and their distance in Å.
Fractional coordinates of all 5 atoms:
Na: 0.0000 0.0000 0.0000  12 In 3.99
Zr: 0.5000 0.5000 0.5000  6 In 2.82
In: 0.0000 0.5000 0.5000  2 Zr 2.82
In: 0.5000 0.0000 0.5000  2 Zr 2.82
In: 0.5000 0.5000 0.0000  2 Zr 2.82

Values from the calculation:
SG: Pm-3m (221)
Total moment (μB/cell): 0.00
ΔE_f (meV/atom): 330.4
Energy (eV/cell): -16.4
Energy above the lowest structure with this stoichiometry (eV/f.u.): 0.00
Fermi-level density of states (states/eV/cell): 4.14
ρ (g cm⁻³): 4.24

---

Entry 5:
Computed, not measured: KMg3 after structural relaxation at the PBE level of DFT.

abc: 5.6128 5.6128 5.6128
angles: 122.34 122.34 85.99
Last column: nearest neighbours and their distance in Å.
Fractional coordinates of all 4 atoms:
K: 0.0000 0.0000 0.0000  8 Mg 3.40
Mg: 0.2500 0.7500 0.5000  4 Mg 3.40, 4 K 3.40
Mg: 0.5000 0.5000 0.0000  8 Mg 3.40
Mg: 0.7500 0.2500 0.5000  4 Mg 3.40, 4 K 3.40

Values from the calculation:
SG: I4/mmm (139)
Total moment (μB/cell): 0.00
ΔE_f (meV/atom): 225.7
Energy (eV/cell): -5.0
Fermi-level density of states (states/eV/cell): 2.31
ρ (g cm⁻³): 1.55

---

Entry 6:
Computed, not measured: HfTi6Pb after structural relaxation at the PBE level of DFT.

abc: 4.6927 5.8977 5.8977
angles: 66.36 90.00 90.00
Last column: nearest neighbours and their distance in Å.
Fractional coordinates of all 8 atoms:
Hf: 0.0000 0.0000 0.0000  12 Ti 2.88-3.23
Ti: 0.0000 0.4967 0.4967  8 Ti 2.76-3.08
Ti: 0.0000 0.5276 0.9623  5 Ti 2.79-3.08, 2 Hf 2.88-3.03, 2 Pb 2.98
Ti: 0.0000 0.9623 0.5276  5 Ti 2.79-3.08, 2 Hf 2.88-3.03, 2 Pb 2.98
Ti: 0.5000 0.3144 0.7498  5 Ti 2.76-3.01, 2 Pb 2.95-2.97, 2 Hf 2.99
Ti: 0.5000 0.7498 0.3144  5 Ti 2.76-3.01, 2 Pb 2.95-2.97, 2 Hf 2.99
Ti: 0.5000 0.8011 0.8011  8 Ti 2.79-3.01, 2 Hf 3.06
Pb: 0.5000 0.2696 0.2696  12 Ti 2.95-3.24

Values from the calculation:
SG: Amm2 (38)
Total moment (μB/cell): 0.00
ΔE_f (meV/atom): 25.6
Energy (eV/cell): -60.8
Fermi-level density of states (states/eV/cell): 10.71
ρ (g cm⁻³): 7.47